First-principles (PBE-GGA) data for crystalline LiCaSnN at its relaxed geometry, as listed in Alexandria.

As for the uncorrected energy: -37.10 eV/cell. As for the energy relative to the elements, uncorrected: -576 meV/atom. Its density of states at the Fermi level is 0.6 states/eV/f.u.

The structure belongs to space group I4mm (No. 107); the cell edges are 3.576, 3.576 and 11.128 Å and the angles 90.00°, 90.00° and 90.00°. The distinct sites, in fractional coordinates, are Li at (0.000, 0.000, 0.000), Ca at (0.000, 0.000, 0.671), Sn at (0.000, 0.000, 0.365) and N at (0.000, 0.000, 0.176).